[1]
Below is a relaxed La2SnOsC crystal, with properties calculated at the PBE-GGA level.

The value obtained for the uncorrected energy is -7.2112 eV/atom. As for the crystal system: tetragonal.

The space group is P4/mmm (No. 123) and the conventional cell measures 5.404, 5.404 and 3.979 Å, with angles of 90.00, 90.00 and 90.00 degrees. Symmetry generates all atoms from La at (0.000, 0.500, 0.000), Sn at (0.000, 0.000, 0.500), Os at (0.500, 0.500, 0.500) and C at (0.500, 0.500, 0.000).


[2]
Below is a relaxed BaIrOs2 crystal, with properties calculated at the PBE-GGA level.

The excess energy over the best structure of this formula in the dataset is 748 meV per atom. The value obtained for the uncorrected energy is -7.2825 eV/atom. As for the crystal system: orthorhombic.

The space group is Immm (No. 71) and the conventional cell measures 2.867, 5.096 and 10.569 Å, with angles of 90.00, 90.00 and 90.00 degrees. Symmetry generates all atoms from Ba at (0.000, 0.000, 0.000), Ir at (0.000, 0.000, 0.500) and Os at (0.000, 0.500, 0.216).


[3]
Below is a relaxed SmMg2Hg crystal, with properties calculated at the PBE-GGA level.

The excess energy over the best structure of this formula in the dataset is 215 meV per atom. The value obtained for the uncorrected energy is -2.1241 eV/atom. As for the crystal system: trigonal.

The space group is R3m (No. 160, hexagonal axes) and the conventional cell measures 3.5037, 3.5037 and 29.5528 Å, with angles of 90.00, 90.00 and 120.00 degrees. Symmetry generates all atoms from Sm at (0.0000, 0.0000, 0.0000), Mg at (0.0000, 0.0000, 0.5724), Mg at (0.0000, 0.0000, 0.7601) and Hg at (0.0000, 0.0000, 0.1662).